# 1
This record from the Alexandria database describes an optimized crystal structure of CaSm2Al. The functional is PBE.

POSCAR file:
```
CaSm2Al
1.0
4.962 0.000 0.000
0.000 4.962 0.000
0.000 0.000 4.752
Ca Sm Al
1 2 1
direct
0.000 0.000 0.000
0.000 0.500 0.500
0.500 0.000 0.500
0.500 0.500 0.000
```

Computed properties:
- VASP energy (eV per cell) = -15.571
- SG = P4/mmm (123)
- ΔE_f (eV per formula unit) = -0.39
- energy relative to the lowest polymorph listed for this composition (kJ per mole of atoms) = 3.4
- total moment (μB per atom) = 0.00



# 2
This record from the Alexandria database describes an optimized crystal structure of CaSm2Al9. The functional is PBE.

POSCAR file:
```
CaSm2Al9
1.0
2.839 1.639 8.786
-2.839 1.639 8.786
0.000 -3.278 8.786
Ca Sm Al
1 2 9
direct
0.000 0.000 0.000
0.142 0.142 0.142
0.858 0.858 0.858
0.075 0.588 0.588
0.335 0.335 0.335
0.412 0.412 0.925
0.412 0.925 0.412
0.500 0.500 0.500
0.588 0.075 0.588
0.588 0.588 0.075
0.665 0.665 0.665
0.925 0.412 0.412
```

Computed properties:
- VASP energy (eV per cell) = -49.097
- SG = R-3m (166)
- ΔE_f (eV per formula unit) = -3.97
- total moment (μB per atom) = 0.00



# 3
This record from the Alexandria database describes an optimized crystal structure of Ca2SmAl. The functional is PBE.

POSCAR file:
```
Ca2SmAl
1.0
7.865 0.000 0.000
0.000 7.865 0.000
0.000 0.000 7.865
Ca Sm Al
8 4 4
direct
0.250 0.250 0.250
0.250 0.250 0.750
0.250 0.750 0.250
0.250 0.750 0.750
0.750 0.250 0.250
0.750 0.250 0.750
0.750 0.750 0.250
0.750 0.750 0.750
0.000 0.000 0.000
0.000 0.500 0.500
0.500 0.000 0.500
0.500 0.500 0.000
0.000 0.000 0.500
0.000 0.500 0.000
0.500 0.000 0.000
0.500 0.500 0.500
```

Computed properties:
- VASP energy (eV per cell) = -48.233
- SG = Fm-3m (225)
- ΔE_f (eV per formula unit) = 0.41
- energy relative to the lowest polymorph listed for this composition (kJ per mole of atoms) = 17.4
- total moment (μB per atom) = 0.00



# 4
This record from the Alexandria database describes an optimized crystal structure of Ca3SmAl8. The functional is PBE.

POSCAR file:
```
Ca3SmAl8
1.0
5.672 0.000 0.000
-2.836 4.912 0.000
0.000 0.000 9.193
Ca Sm Al
3 1 8
direct
0.000 0.000 0.000
0.000 0.000 0.366
0.333 0.667 0.868
0.333 0.667 0.501
0.009 0.504 0.185
0.326 0.163 0.682
0.496 0.504 0.185
0.496 0.991 0.185
0.667 0.333 0.435
0.667 0.333 0.936
0.837 0.163 0.682
0.837 0.674 0.682
```

Computed properties:
- VASP energy (eV per cell) = -45.005
- SG = P3m1 (156)
- ΔE_f (eV per formula unit) = -4.34
- energy relative to the lowest polymorph listed for this composition (kJ per mole of atoms) = 1.4
- total moment (μB per atom) = 0.00



# 5
This record from the Alexandria database describes an optimized crystal structure of CaSm2Al. The functional is PBE.

POSCAR file:
```
CaSm2Al
1.0
7.734 0.000 0.000
0.000 7.734 0.000
0.000 0.000 7.734
Ca Sm Al
4 8 4
direct
0.000 0.000 0.000
0.000 0.500 0.500
0.500 0.000 0.500
0.500 0.500 0.000
0.250 0.250 0.250
0.250 0.250 0.750
0.250 0.750 0.250
0.250 0.750 0.750
0.750 0.250 0.250
0.750 0.250 0.750
0.750 0.750 0.250
0.750 0.750 0.750
0.000 0.000 0.500
0.000 0.500 0.000
0.500 0.000 0.000
0.500 0.500 0.500
```

Computed properties:
- VASP energy (eV per cell) = -61.911
- SG = Fm-3m (225)
- ΔE_f (eV per formula unit) = -0.30
- energy relative to the lowest polymorph listed for this composition (kJ per mole of atoms) = 5.7
- total moment (μB per atom) = 0.00



# 6
This record from the Alexandria database describes an optimized crystal structure of CaTbSmAl. The functional is PBE.

POSCAR file:
```
CaTbSmAl
1.0
7.687 0.000 0.000
0.000 7.687 0.000
0.000 0.000 7.687
Ca Tb Sm Al
4 4 4 4
direct
0.000 0.000 0.000
0.000 0.500 0.500
0.500 0.000 0.500
0.500 0.500 0.000
0.250 0.250 0.250
0.250 0.750 0.750
0.750 0.250 0.750
0.750 0.750 0.250
0.250 0.250 0.750
0.250 0.750 0.250
0.750 0.250 0.250
0.750 0.750 0.750
0.000 0.000 0.500
0.000 0.500 0.000
0.500 0.000 0.000
0.500 0.500 0.500
```

Computed properties:
- VASP energy (eV per cell) = -61.401
- SG = F-43m (216)
- ΔE_f (eV per formula unit) = -0.26
- total moment (μB per atom) = 0.00



# 7
This record from the Alexandria database describes an optimized crystal structure of CaSmAlTl. The functional is PBE.

POSCAR file:
```
CaSmAlTl
1.0
7.582 0.000 0.000
0.000 7.582 0.000
0.000 0.000 7.582
Ca Sm Al Tl
4 4 4 4
direct
0.000 0.000 0.000
0.000 0.500 0.500
0.500 0.000 0.500
0.500 0.500 0.000
0.000 0.000 0.500
0.000 0.500 0.000
0.500 0.000 0.000
0.500 0.500 0.500
0.250 0.250 0.750
0.250 0.750 0.250
0.750 0.250 0.250
0.750 0.750 0.750
0.250 0.250 0.250
0.250 0.750 0.750
0.750 0.250 0.750
0.750 0.750 0.250
```

Computed properties:
- VASP energy (eV per cell) = -56.219
- SG = F-43m (216)
- ΔE_f (eV per formula unit) = -1.23
- total moment (μB per atom) = 0.00



# 8
This record from the Alexandria database describes an optimized crystal structure of CaSmTmAl. The functional is PBE.

POSCAR file:
```
CaSmTmAl
1.0
7.637 0.000 0.000
0.000 7.637 0.000
0.000 0.000 7.637
Ca Sm Tm Al
4 4 4 4
direct
0.000 0.000 0.000
0.000 0.500 0.500
0.500 0.000 0.500
0.500 0.500 0.000
0.250 0.250 0.250
0.250 0.750 0.750
0.750 0.250 0.750
0.750 0.750 0.250
0.250 0.250 0.750
0.250 0.750 0.250
0.750 0.250 0.250
0.750 0.750 0.750
0.000 0.000 0.500
0.000 0.500 0.000
0.500 0.000 0.000
0.500 0.500 0.500
```

Computed properties:
- VASP energy (eV per cell) = -60.465
- SG = F-43m (216)
- ΔE_f (eV per formula unit) = -0.18
- total moment (μB per atom) = 0.00



# 9
This record from the Alexandria database describes an optimized crystal structure of CaSmYAl. The functional is PBE.

POSCAR file:
```
CaSmYAl
1.0
7.687 0.000 0.000
0.000 7.687 0.000
0.000 0.000 7.687
Ca Sm Y Al
4 4 4 4
direct
0.000 0.000 0.000
0.000 0.500 0.500
0.500 0.000 0.500
0.500 0.500 0.000
0.250 0.250 0.250
0.250 0.750 0.750
0.750 0.250 0.750
0.750 0.750 0.250
0.250 0.250 0.750
0.250 0.750 0.250
0.750 0.250 0.250
0.750 0.750 0.750
0.000 0.000 0.500
0.000 0.500 0.000
0.500 0.000 0.000
0.500 0.500 0.500
```

Computed properties:
- VASP energy (eV per cell) = -68.894
- SG = F-43m (216)
- ΔE_f (eV per formula unit) = -0.30
- total moment (μB per atom) = 0.00



# 10
This record from the Alexandria database describes an optimized crystal structure of CaSmAlZn. The functional is PBE.

POSCAR file:
```
CaSmAlZn
1.0
7.366 0.000 0.000
0.000 7.366 0.000
0.000 0.000 7.366
Ca Sm Al Zn
4 4 4 4
direct
0.000 0.000 0.000
0.000 0.500 0.500
0.500 0.000 0.500
0.500 0.500 0.000
0.000 0.000 0.500
0.000 0.500 0.000
0.500 0.000 0.000
0.500 0.500 0.500
0.250 0.250 0.250
0.250 0.750 0.750
0.750 0.250 0.750
0.750 0.750 0.250
0.250 0.250 0.750
0.250 0.750 0.250
0.750 0.250 0.250
0.750 0.750 0.750
```

Computed properties:
- VASP energy (eV per cell) = -51.697
- SG = F-43m (216)
- ΔE_f (eV per formula unit) = -1.19
- energy relative to the lowest polymorph listed for this composition (kJ per mole of atoms) = 0.0
- total moment (μB per atom) = 0.00



no.,calculated volume (A^3/atom)
1,29.25
2,20.44
3,30.41
4,21.34
5,28.91
6,28.39
7,27.24
8,27.84
9,28.39
10,24.98